LiLa2Zn6Cu | GGA-PBE | optimized geometry

As for the energy of formation: -18.5 kJ/mol of atoms. Its crystal system is triclinic.

It has space group P-1 (No. 2), with a = 6.4957 Å, b = 6.5060 Å, c = 6.6272 Å, α = 60.74°, β = 60.77° and γ = 60.13°. The inequivalent atoms are Li at (0.0000, 0.0000, 0.0000), La at (0.2858, 0.2876, 0.1489), Zn at (0.1658, 0.7556, 0.3327), Zn at (0.2469, 0.8342, 0.6674), Zn at (0.2498, 0.2481, 0.6693) and Cu at (0.5000, 0.5000, 0.5000).

***

Tb4TmSc2 | GGA-PBE | optimized geometry

As for the energy of formation: 23.3 kJ/mol of atoms. The energy above the lowest structure with this stoichiometry is 93.8 meV/atom. Its crystal system is triclinic.

It has space group P-1 (No. 2), with a = 6.4892 Å, b = 6.6518 Å, c = 10.5549 Å, α = 90.93°, β = 102.53° and γ = 103.67°. The inequivalent atoms are Tb at (0.1234, 0.1468, 0.1671), Tb at (0.1583, 0.6635, 0.2692), Tb at (0.2926, 0.7054, 0.7039), Tb at (0.3282, 0.2164, 0.7650), Tm at (0.0000, 0.0000, 0.5000), Tm at (0.5000, 0.0000, 0.5000), Sc at (0.2462, 0.5306, 0.9824), Sc at (0.5000, 0.0000, 0.0000) and Sc at (0.5000, 0.5000, 0.5000).

***

CrMoBr | GGA-PBE | optimized geometry

The energy above the lowest structure with this stoichiometry is 0.0 meV/atom. Its crystal system is orthorhombic.

It has space group Imm2 (No. 44), with a = 3.1485 Å, b = 3.1909 Å, c = 24.1944 Å, α = 90.00°, β = 90.00° and γ = 90.00°. The inequivalent atoms are Cr at (0.0000, 0.0000, 0.0000), Cr at (0.0000, 0.0000, 0.4418), Mo at (0.0000, 0.0000, 0.3189), Mo at (0.0000, 0.0000, 0.8801), Br at (0.0000, 0.5000, 0.0785) and Br at (0.0000, 0.5000, 0.7349).

***

CeY3Th2N6 | GGA-PBE | optimized geometry

As for the final energy: -218.98 eV/cell. Its crystal system is monoclinic.

It has space group C2/m (No. 12), with a = 15.5293 Å, b = 3.5649 Å, c = 7.1117 Å, α = 90.00°, β = 103.17° and γ = 90.00°. The inequivalent atoms are Ce at (0.0000, 0.0000, 0.0000), Y at (0.0000, 0.0000, 0.5000), Y at (0.1649, 0.5000, 0.8337), Th at (0.1654, 0.5000, 0.3306), N at (0.9997, 0.5000, 0.2505), N at (0.1658, 0.0000, 0.5848) and N at (0.1671, 0.0000, 0.0814).

***

NaSi2S4 | GGA-PBE | optimized geometry

As for the final energy: -65.72 eV/cell. Its crystal system is tetragonal.

It has space group I4/m (No. 87), with a = 7.6681 Å, b = 7.6681 Å, c = 5.7758 Å, α = 90.00°, β = 90.00° and γ = 90.00°. The inequivalent atoms are Na at (0.0000, 0.0000, 0.0000), Si at (0.0000, 0.5000, 0.2500) and S at (0.1536, 0.6558, 0.5000).

***

Li3YGa | GGA-PBE | optimized geometry

As for the energy of formation: 6.3 kJ/mol of atoms. The energy above the lowest structure with this stoichiometry is 0.0 meV/atom. Its crystal system is cubic.

It has space group Pm-3m (No. 221), with a = 4.7326 Å, b = 4.7326 Å, c = 4.7326 Å, α = 90.00°, β = 90.00° and γ = 90.00°. The inequivalent atoms are Li at (0.0000, 0.0000, 0.5000), Y at (0.5000, 0.5000, 0.5000) and Ga at (0.0000, 0.0000, 0.0000).

***

UTiB | GGA-PBE | optimized geometry

As for the energy of formation: -12.3 kJ/mol of atoms. Its crystal system is monoclinic.

It has space group C2/m (No. 12), with a = 5.7307 Å, b = 3.6109 Å, c = 9.4066 Å, α = 90.00°, β = 107.64° and γ = 90.00°. The inequivalent atoms are U at (0.1980, 0.0000, 0.3961), Ti at (0.2416, 0.5000, 0.1096) and B at (0.0531, 0.5000, 0.7887).

***

La2FeCBr | GGA-PBE | optimized geometry

As for the final energy: -31.68 eV/cell. Its crystal system is tetragonal.

It has space group P4/mmm (No. 123), with a = 5.3830 Å, b = 5.3830 Å, c = 3.6743 Å, α = 90.00°, β = 90.00° and γ = 90.00°. The inequivalent atoms are La at (0.0000, 0.5000, 0.0000), Fe at (0.0000, 0.0000, 0.5000), C at (0.0000, 0.0000, 0.0000) and Br at (0.5000, 0.5000, 0.5000).

***

Ac2PrY5Tm | GGA-PBE | optimized geometry

As for the energy of formation: 15.1 kJ/mol of atoms. Its crystal system is orthorhombic.

It has space group Cmc2_1 (No. 36), with a = 5.8106 Å, b = 20.1989 Å, c = 10.9100 Å, α = 90.00°, β = 90.00° and γ = 90.00°. The inequivalent atoms are Ac at (0.0000, 0.1135, 0.0000), Ac at (0.0000, 0.1146, 0.5863), Pr at (0.0000, 0.4151, 0.7308), Y at (0.0000, 0.0190, 0.2918), Y at (0.0000, 0.2821, 0.5846), Y at (0.0000, 0.2968, 0.9752), Y at (0.0000, 0.3842, 0.2883), Y at (0.0000, 0.4821, 0.0068) and Tm at (0.0000, 0.2030, 0.2820).

***

MgIn2 | GGA-PBE | optimized geometry

As for the energy of formation: -4.7 kJ/mol of atoms. Its crystal system is orthorhombic.

It has space group Cmcm (No. 63), with a = 3.3418 Å, b = 17.4004 Å, c = 5.1505 Å, α = 90.00°, β = 90.00° and γ = 90.00°. The inequivalent atoms are Mg at (0.0000, 0.1093, 0.2500), In at (0.0000, 0.2233, 0.7500) and In at (0.0000, 0.4441, 0.2500).

***

CrHgH2 | GGA-PBE | optimized geometry

The energy above the lowest structure with this stoichiometry is 389.1 meV/atom. Its crystal system is cubic.

It has space group Fm-3m (No. 225), with a = 5.6304 Å, b = 5.6304 Å, c = 5.6304 Å, α = 90.00°, β = 90.00° and γ = 90.00°. The inequivalent atoms are Cr at (0.0000, 0.0000, 0.0000), Hg at (0.0000, 0.0000, 0.5000) and H at (0.2500, 0.2500, 0.2500).

***

InRe2Mo | GGA-PBE | optimized geometry

As for the energy of formation: 33.8 kJ/mol of atoms. Its crystal system is orthorhombic.

It has space group Pmm2 (No. 25), with a = 2.8789 Å, b = 4.0884 Å, c = 5.6940 Å, α = 90.00°, β = 90.00° and γ = 90.00°. The inequivalent atoms are In at (0.0000, 0.0000, 0.0000), Re at (0.0000, 0.0000, 0.5049), Re at (0.5000, 0.5000, 0.7145) and Mo at (0.5000, 0.5000, 0.2780).

***

NiHgSe2 | GGA-PBE | optimized geometry

As for the final energy: -24.13 eV/cell. Its crystal system is monoclinic.

It has space group C2/m (No. 12), with a = 5.5627 Å, b = 7.6590 Å, c = 4.7308 Å, α = 90.00°, β = 125.88° and γ = 90.00°. The inequivalent atoms are Ni at (0.0000, 0.0000, 0.0000), Hg at (0.0000, 0.5000, 0.0000) and Se at (0.2500, 0.2500, 0.5000).

***

TiNb2Al2 | GGA-PBE | optimized geometry

As for the energy of formation: -24.0 kJ/mol of atoms. The energy above the lowest structure with this stoichiometry is 42.2 meV/atom. Its crystal system is monoclinic.

It has space group C2/m (No. 12), with a = 9.5513 Å, b = 3.7702 Å, c = 9.4498 Å, α = 90.00°, β = 92.19° and γ = 90.00°. The inequivalent atoms are Ti at (0.2499, 0.0000, 0.2436), Nb at (0.0516, 0.0000, 0.8551), Nb at (0.1480, 0.0000, 0.5512), Al at (0.0520, 0.5000, 0.3456) and Al at (0.1530, 0.5000, 0.0497).

***

Hf6In2Au | GGA-PBE | optimized geometry

As for the energy of formation: 28.2 kJ/mol of atoms. Its crystal system is monoclinic.

It has space group C2/m (No. 12), with a = 14.7501 Å, b = 6.7742 Å, c = 4.6672 Å, α = 90.00°, β = 108.13° and γ = 90.00°. The inequivalent atoms are Hf at (0.0000, 0.2380, 0.0000), Hf at (0.1641, 0.2435, 0.6626), In at (0.1643, 0.5000, 0.1625) and Au at (0.0000, 0.0000, 0.5000).

***

Mg2MnBr | GGA-PBE | optimized geometry

The energy above the lowest structure with this stoichiometry is 497.6 meV/atom. Its crystal system is cubic.

It has space group Fm-3m (No. 225), with a = 7.1640 Å, b = 7.1640 Å, c = 7.1640 Å, α = 90.00°, β = 90.00° and γ = 90.00°. The inequivalent atoms are Mg at (0.2500, 0.2500, 0.2500), Mn at (0.0000, 0.0000, 0.0000) and Br at (0.0000, 0.0000, 0.5000).

***

ScTlPdRh | GGA-PBE | optimized geometry

As for the energy of formation: -54.9 kJ/mol of atoms. Its crystal system is cubic.

It has space group F-43m (No. 216), with a = 6.5766 Å, b = 6.5766 Å, c = 6.5766 Å, α = 90.00°, β = 90.00° and γ = 90.00°. The inequivalent atoms are Sc at (0.0000, 0.0000, 0.0000), Tl at (0.0000, 0.0000, 0.5000), Pd at (0.2500, 0.2500, 0.2500) and Rh at (0.2500, 0.2500, 0.7500).

***

ThPaFe | GGA-PBE | optimized geometry

As for the energy of formation: -1.5 kJ/mol of atoms. The energy above the lowest structure with this stoichiometry is 86.0 meV/atom. Its crystal system is tetragonal.

It has space group I4mm (No. 107), with a = 3.4361 Å, b = 3.4361 Å, c = 11.3861 Å, α = 90.00°, β = 90.00° and γ = 90.00°. The inequivalent atoms are Th at (0.0000, 0.0000, 0.0000), Pa at (0.0000, 0.0000, 0.2894) and Fe at (0.0000, 0.0000, 0.7054).

***

Mg8Cd6Rh | GGA-PBE | optimized geometry

As for the energy of formation: -5.3 kJ/mol of atoms. Its crystal system is trigonal.

It has space group R-3 (No. 148, hexagonal axes), with a = 8.1564 Å, b = 8.1564 Å, c = 17.2385 Å, α = 90.00°, β = 90.00° and γ = 120.00°. The inequivalent atoms are Mg at (0.0000, 0.0000, 0.2371), Mg at (0.0296, 0.7859, 0.3996), Cd at (0.0425, 0.7928, 0.9075) and Rh at (0.0000, 0.0000, 0.5000).

***

Ga12Te3Br5 | GGA-PBE | optimized geometry

As for the final energy: -450.17 eV/cell. Its crystal system is cubic.

It has space group Ia-3d (No. 230), with a = 18.0074 Å, b = 18.0074 Å, c = 18.0074 Å, α = 90.00°, β = 90.00° and γ = 90.00°. The inequivalent atoms are Ga at (0.0040, 0.0678, 0.6577), Te at (0.0000, 0.2500, 0.1250), Br at (0.0000, 0.0000, 0.0000) and Br at (0.0000, 0.2500, 0.3750).

***

no.,theoretical density (g/cm3)
1,6.14
2,6.89
3,6.23
4,8.27
5,2.03
6,2.81
7,10.62
8,6.64
9,6.27
10,5.63
11,9.47
12,14.45
13,8.48
14,5.62
15,11.22
16,3.31
17,10.71
18,12.82
19,4.87
20,3.68